# 1
Entry from Alexandria via LeMat-Bulk: an optimized crystal structure of LiDyBr4 (PBE).

Output
* energy relative to the elements, uncorrected: -1.75 eV/atom
* symmetry: No. 10
* ΔE to the lowest computed polymorph: 0.0 meV/atom

Cell lengths 4.1030, 6.9769, 7.0147 Å; angles 94.73, 90.00, 90.00 degrees
Fractional positions:
Br  0.5000  0.7659  0.8235
Br  0.5000  0.2341  0.1765
Br  0.0000  0.7904  0.3177
Br  0.0000  0.2096  0.6823
Dy  0.0000  0.0000  0.0000
Li  0.5000  0.0000  0.5000


# 2
Entry from Alexandria via LeMat-Bulk: an optimized crystal structure of BeSbH (PBE).

Output
* symmetry: No. 10
* ΔE to the lowest computed polymorph: 3.2 meV/atom

Cell lengths 4.2836, 4.2931, 6.1526 Å; angles 90.00, 99.61, 90.00 degrees
Fractional positions:
Be  0.1129  0.0000  0.1566
Be  0.8871  0.0000  0.8434
H  0.2232  0.0000  0.9430
H  0.7768  0.0000  0.0570
Sb  0.7866  0.5000  0.6553
Sb  0.2134  0.5000  0.3447


# 3
Entry from Alexandria via LeMat-Bulk: an optimized crystal structure of La2TcB10 (PBE).

Output
* symmetry: No. 55
* formation energy: -0.48 eV/atom

Cell lengths 4.2397, 5.8244, 11.6248 Å; angles 90.00, 90.00, 90.00 degrees
Fractional positions:
B  0.0000  0.6301  0.8026
B  0.7015  0.7249  0.3813
B  0.0000  0.4359  0.6929
B  0.0000  0.8699  0.3026
B  0.2985  0.7751  0.8813
B  0.2985  0.2751  0.6187
B  0.2985  0.7249  0.3813
B  0.7015  0.7751  0.8813
B  0.0000  0.3699  0.1974
B  0.2985  0.2249  0.1187
B  0.0000  0.1187  0.5431
B  0.0000  0.6187  0.9569
B  0.0000  0.9359  0.8071
B  0.0000  0.0641  0.1929
B  0.0000  0.1301  0.6974
B  0.7015  0.2751  0.6187
B  0.7015  0.2249  0.1187
B  0.0000  0.8813  0.4569
B  0.0000  0.3813  0.0431
B  0.0000  0.5641  0.3071
La  0.5000  0.7817  0.6334
La  0.5000  0.2183  0.3666
La  0.5000  0.7183  0.1334
La  0.5000  0.2817  0.8666
Tc  0.0000  0.5000  0.5000
Tc  0.0000  0.0000  0.0000


# 4
Entry from Alexandria via LeMat-Bulk: an optimized crystal structure of Te5Rh3 (PBE).

Output
* energy relative to the elements, uncorrected: 0.10 eV/atom
* symmetry: No. 65
* ΔE to the lowest computed polymorph: 355.4 meV/atom

Cell lengths 7.1264, 7.1264, 4.0803 Å; angles 90.00, 90.00, 113.10 degrees
Fractional positions:
Rh  0.6711  0.3289  0.5000
Rh  0.5000  0.5000  0.0000
Rh  0.3289  0.6711  0.5000
Te  0.5000  0.0000  0.0000
Te  0.0000  0.0000  0.0000
Te  0.0000  0.5000  0.0000
Te  0.2881  0.2881  0.5000
Te  0.7119  0.7119  0.5000


# 5
Entry from Alexandria via LeMat-Bulk: an optimized crystal structure of TlGa2Sn (PBE).

Output
* symmetry: No. 123
* formation energy: 0.07 eV/atom
* ΔE to the lowest computed polymorph: 18.4 meV/atom

Cell lengths 3.9495, 4.9597, 4.9597 Å; angles 90.00, 90.00, 90.00 degrees
Fractional positions:
Ga  0.0000  0.0000  0.5000
Ga  0.0000  0.5000  0.0000
Sn  0.5000  0.0000  0.0000
Tl  0.5000  0.5000  0.5000


# 6
Entry from Alexandria via LeMat-Bulk: an optimized crystal structure of LaMnCu2 (PBE).

Output
* symmetry: No. 6
* formation energy: 0.16 eV/atom

Cell lengths 4.1358, 3.3178, 5.8888 Å; angles 73.88, 90.00, 90.00 degrees
Last column: magnetic moment on the atom in μB.
Fractional positions:
Mn  0.5000  0.7577  0.8591  3.81
Cu  0.5000  0.0815  0.2129  0.04
Cu  0.0000  0.1993  0.9705  0.05
La  0.0000  0.4615  0.4575  -0.14


# 7
Entry from Alexandria via LeMat-Bulk: an optimized crystal structure of CsSrAlRu2 (PBE).

Output
* symmetry: No. 123
* formation energy: 2.05 eV/atom

Cell lengths 5.1365, 6.0403, 5.1365 Å; angles 90.00, 90.00, 90.00 degrees
Last column: magnetic moment on the atom in μB.
Fractional positions:
Cs  0.0000  0.5000  0.0000  -0.03
Ru  0.0000  0.0000  0.5000  1.17
Ru  0.5000  0.0000  0.0000  1.19
Sr  0.0000  0.0000  0.0000  -0.06
Al  0.5000  0.5000  0.5000  -0.03


# 8
Entry from Alexandria via LeMat-Bulk: an optimized crystal structure of ZrNb3Bi (PBE).

Output
* symmetry: No. 221
* formation energy: 1.42 eV/atom
* ΔE to the lowest computed polymorph: 0.0 meV/atom

Cell lengths 4.9906, 4.9906, 4.9906 Å; angles 90.00, 90.00, 90.00 degrees
Fractional positions:
Zr  0.0000  0.0000  0.0000
Nb  0.0000  0.5000  0.0000
Nb  0.0000  0.0000  0.5000
Nb  0.5000  0.0000  0.0000
Bi  0.5000  0.5000  0.5000


# 9
Entry from Alexandria via LeMat-Bulk: an optimized crystal structure of Ce2PrNd (PBE).

Output
* symmetry: No. 123
* formation energy: 0.12 eV/atom
* ΔE to the lowest computed polymorph: 0.0 meV/atom

Cell lengths 5.1670, 4.9854, 4.9854 Å; angles 90.00, 90.00, 90.00 degrees
Last column: magnetic moment on the atom in μB.
Fractional positions:
Ce  0.0000  0.5000  0.0000  0.64
Ce  0.0000  0.0000  0.5000  0.64
Pr  0.5000  0.5000  0.5000  0.00
Nd  0.5000  0.0000  0.0000  0.00


# 10
Entry from Alexandria via LeMat-Bulk: an optimized crystal structure of K2PaPd2Se4 (PBE).

Output
* energy relative to the elements, uncorrected: -1.07 eV/atom
* symmetry: No. 12

Cell lengths 4.1380, 7.9605, 7.7220 Å; angles 108.19, 105.54, 90.00 degrees
Fractional positions:
Se  0.8051  0.8091  0.6102
Se  0.5117  0.7591  0.0233
Se  0.4883  0.2409  0.9767
Se  0.1949  0.1909  0.3898
Pd  0.6807  0.9991  0.3614
Pd  0.3193  0.0009  0.6386
K  0.1363  0.5770  0.2727
K  0.8637  0.4230  0.7273
Pa  0.0000  0.0000  0.0000


# 11
Entry from Alexandria via LeMat-Bulk: an optimized crystal structure of Al2CdRh (PBE).

Output
* symmetry: No. 99
* formation energy: -0.28 eV/atom

Cell lengths 2.9933, 2.9933, 7.6198 Å; angles 90.00, 90.00, 90.06 degrees
Fractional positions:
Rh  0.5000  0.5000  0.7884
Al  0.0000  0.0000  0.9637
Al  0.5000  0.5000  0.2205
Cd  0.0000  0.0000  0.5274


# 12
Entry from Alexandria via LeMat-Bulk: an optimized crystal structure of CoReAs2Se (PBE).

Output
* energy relative to the elements, uncorrected: 1.08 eV/atom
* symmetry: No. 123

Cell lengths 4.4217, 4.4217, 4.5762 Å; angles 90.00, 90.00, 90.00 degrees
Fractional positions:
Se  0.0000  0.0000  0.5000
Re  0.5000  0.5000  0.5000
As  0.0000  0.5000  0.0000
As  0.5000  0.0000  0.0000
Co  0.0000  0.0000  0.0000


# 13
Entry from Alexandria via LeMat-Bulk: an optimized crystal structure of Pr12Be3H5 (PBE).

Output
* symmetry: No. 230
* total DFT energy (no corrections): -4.3033 eV/atom

Cell lengths 13.6143, 13.6143, 13.6143 Å; angles 109.47, 109.47, 109.47 degrees
Fractional positions:
Pr  0.4733  0.6883  0.0901
Pr  0.9018  0.8117  0.7850
Pr  0.4018  0.2850  0.3117
Pr  0.8832  0.5982  0.9099
Pr  0.6168  0.0267  0.2150
Pr  0.9733  0.5901  0.1883
Pr  0.2850  0.8832  0.9733
Pr  0.8117  0.9099  0.0267
Pr  0.1168  0.7150  0.5267
Pr  0.3832  0.4099  0.0982
Pr  0.5267  0.3117  0.9099
Pr  0.4099  0.3832  0.5982
Pr  0.5982  0.8832  0.4099
Pr  0.1883  0.0982  0.7150
Pr  0.5901  0.6168  0.4018
Pr  0.0901  0.1883  0.4733
Pr  0.5982  0.7150  0.6883
Pr  0.6883  0.2150  0.5982
Pr  0.6883  0.4733  0.5901
Pr  0.4099  0.0267  0.3117
Pr  0.5267  0.2150  0.1168
Pr  0.9099  0.0982  0.8832
Pr  0.6168  0.5901  0.9018
Pr  0.8117  0.9018  0.2850
Pr  0.3117  0.5267  0.4099
Pr  0.9733  0.3832  0.2850
Pr  0.0901  0.9018  0.1168
Pr  0.0267  0.4099  0.8117
Pr  0.2150  0.6883  0.0982
Pr  0.9099  0.8117  0.5267
Pr  0.7150  0.1168  0.0267
Pr  0.3832  0.9733  0.7850
Pr  0.8832  0.2850  0.4733
Pr  0.3117  0.7850  0.4018
Pr  0.0982  0.1883  0.2150
Pr  0.7850  0.3117  0.9018
Pr  0.1883  0.0901  0.9733
Pr  0.0982  0.9099  0.3832
Pr  0.2150  0.5267  0.6168
Pr  0.0267  0.6168  0.7150
Pr  0.5901  0.9733  0.6883
Pr  0.4733  0.7850  0.8832
Pr  0.1168  0.4018  0.0901
Pr  0.7150  0.5982  0.1883
Pr  0.4018  0.1168  0.5901
Pr  0.9018  0.0901  0.6168
Pr  0.7850  0.4733  0.3832
Pr  0.2850  0.4018  0.8117
H  0.2500  0.3750  0.6250
H  0.7500  0.1250  0.8750
H  0.8750  0.2500  0.6250
H  0.0000  0.5000  0.0000
H  0.3750  0.2500  0.1250
H  0.8750  0.6250  0.7500
H  0.7500  0.6250  0.3750
H  0.6250  0.7500  0.8750
H  0.5000  0.5000  0.0000
H  0.1250  0.3750  0.2500
H  0.0000  0.0000  0.0000
H  0.0000  0.5000  0.5000
H  0.6250  0.8750  0.2500
H  0.0000  0.0000  0.5000
H  0.3750  0.1250  0.7500
H  0.5000  0.5000  0.5000
H  0.5000  0.0000  0.5000
H  0.2500  0.8750  0.1250
H  0.1250  0.7500  0.3750
H  0.5000  0.0000  0.0000
Be  0.7500  0.3750  0.1250
Be  0.8750  0.7500  0.1250
Be  0.3750  0.6250  0.2500
Be  0.2500  0.1250  0.3750
Be  0.6250  0.2500  0.3750
Be  0.2500  0.6250  0.8750
Be  0.6250  0.3750  0.7500
Be  0.1250  0.2500  0.8750
Be  0.8750  0.1250  0.2500
Be  0.3750  0.7500  0.6250
Be  0.1250  0.8750  0.7500
Be  0.7500  0.8750  0.6250


# 14
Entry from Alexandria via LeMat-Bulk: an optimized crystal structure of K5RbNa4 (PBE).

Output
* symmetry: No. 123
* formation energy: 0.02 eV/atom

Cell lengths 4.6342, 4.6342, 27.4580 Å; angles 90.00, 90.00, 90.00 degrees
Fractional positions:
Na  0.0000  0.0000  0.5903
Na  0.0000  0.0000  0.4097
Na  0.0000  0.0000  0.7721
Na  0.0000  0.0000  0.2279
K  0.5000  0.5000  0.1360
K  0.5000  0.5000  0.8640
K  0.5000  0.5000  0.3183
K  0.5000  0.5000  0.5000
K  0.5000  0.5000  0.6817
Rb  0.0000  0.0000  0.0000


# 15
Entry from Alexandria via LeMat-Bulk: an optimized crystal structure of InNi (PBE).

Output
* symmetry: No. 62
* formation energy: -0.02 eV/atom

Cell lengths 7.8722, 4.3196, 7.7539 Å; angles 90.00, 90.00, 90.00 degrees
Fractional positions:
Ni  0.0805  0.7500  0.4625
Ni  0.2425  0.7500  0.0843
Ni  0.4195  0.2500  0.9625
Ni  0.2575  0.2500  0.5843
Ni  0.7575  0.2500  0.9157
Ni  0.7425  0.7500  0.4157
Ni  0.5805  0.7500  0.0375
Ni  0.9195  0.2500  0.5375
In  0.8459  0.7500  0.7312
In  0.1541  0.2500  0.2688
In  0.3459  0.7500  0.7688
In  0.6541  0.2500  0.2312
In  0.4106  0.7500  0.3775
In  0.5894  0.2500  0.6225
In  0.0894  0.2500  0.8775
In  0.9106  0.7500  0.1225


# 16
Entry from Alexandria via LeMat-Bulk: an optimized crystal structure of CeSmSeS2 (PBE).

Output
* energy relative to the elements, uncorrected: -1.59 eV/atom
* symmetry: No. 63

Cell lengths 6.2508, 6.2612, 7.5259 Å; angles 114.58, 90.00, 90.00 degrees
Last column: magnetic moment on the atom in μB.
Fractional positions:
Ce  0.7500  0.3840  0.7680  0.86
Ce  0.2500  0.6160  0.2320  0.86
Se  0.2500  0.2503  0.5007  -0.02
Se  0.7500  0.7497  0.4993  -0.02
S  0.0000  0.7498  0.0000  -0.02
S  0.5000  0.7498  0.0000  -0.02
S  0.5000  0.2502  0.0000  -0.02
S  0.0000  0.2502  0.0000  -0.02
Sm  0.7500  0.1145  0.2290  0.06
Sm  0.2500  0.8855  0.7710  0.06


# 17
Entry from Alexandria via LeMat-Bulk: an optimized crystal structure of HoSn4Pb (PBE).

Output
* symmetry: No. 216
* formation energy: -0.09 eV/atom

Cell lengths 6.2114, 6.2114, 6.2114 Å; angles 60.00, 60.00, 60.00 degrees
Fractional positions:
Pb  0.2500  0.2500  0.2500
Sn  0.6252  0.6252  0.6252
Sn  0.1244  0.6252  0.6252
Sn  0.6252  0.1244  0.6252
Sn  0.6252  0.6252  0.1244
Ho  0.0000  0.0000  0.0000


# 18
Entry from Alexandria via LeMat-Bulk: an optimized crystal structure of NiH3Ir (PBE).

Output
* symmetry: No. 221
* ΔE to the lowest computed polymorph: 0.0 meV/atom

Cell lengths 3.4125, 3.4125, 3.4125 Å; angles 90.00, 90.00, 90.00 degrees
Last column: magnetic moment on the atom in μB.
Fractional positions:
H  0.0000  0.5000  0.0000  0.00
H  0.5000  0.0000  0.0000  0.01
H  0.0000  0.0000  0.5000  0.00
Ni  0.5000  0.5000  0.5000  0.62
Ir  0.0000  0.0000  0.0000  0.06


# 19
Entry from Alexandria via LeMat-Bulk: an optimized crystal structure of PaNbIn2 (PBE).

Output
* symmetry: No. 166
* formation energy: 0.33 eV/atom

Cell lengths 3.0908, 3.0908, 11.6070 Å; angles 82.35, 82.35, 60.00 degrees
Last column: magnetic moment on the atom in μB.
Fractional positions:
In  0.0946  0.0946  0.7161  0.01
In  0.9054  0.9054  0.2839  0.01
Pa  0.0000  0.0000  0.0000  0.41
Nb  0.5000  0.5000  0.5000  0.02


# 20
Entry from Alexandria via LeMat-Bulk: an optimized crystal structure of BaSb2Au (PBE).

Output
* energy relative to the elements, uncorrected: -0.35 eV/atom
* symmetry: No. 139

Cell lengths 6.7239, 6.7239, 6.7239 Å; angles 140.47, 140.47, 57.14 degrees
Fractional positions:
Sb  0.0000  0.0000  0.0000
Sb  0.5000  0.5000  0.0000
Au  0.2500  0.7500  0.5000
Ba  0.7500  0.2500  0.5000